# Mg2TaPb2 PBE optimized geometry
# Magnetization in μB per cell: 0.000
# V in Å³ per cell: 231.69
# ρ in kg/m³: 9231
# Crystal system: tetragonal
# ΔH_f (0 K) in eV/atom: 0.5707
# Polymorph energy (0 for the lowest one) in kJ/mol of formula units: 0.0
data_Mg2TaPb2
_chemical_formula_sum 'Mg4 Ta2 Pb4'
_cell_length_a 7.903
_cell_length_b 7.903
_cell_length_c 3.709
_cell_angle_alpha 90.00
_cell_angle_beta 90.00
_cell_angle_gamma 90.00
_space_group_name_H-M_alt 'P 4/m b m'
_space_group_IT_number 127
_space_group_name_Hall '-P 4 2ab'
loop_
_atom_site_label
_atom_site_type_symbol
_atom_site_fract_x
_atom_site_fract_y
_atom_site_fract_z
Mg1 Mg 0.134 0.366 0.000
Ta1 Ta 0.000 0.000 0.000
Pb1 Pb 0.170 0.670 0.500

=====

# Mg2TaPb PBE optimized geometry
# Magnetization in μB per cell: 0.000
# V in Å³ per cell: 172.80
# ρ in kg/m³: 8394
# Crystal system: orthorhombic
# ΔH_f (0 K) in eV/atom: 0.3073
data_Mg2TaPb
_chemical_formula_sum 'Mg4 Ta2 Pb2'
_cell_length_a 5.911
_cell_length_b 9.490
_cell_length_c 3.081
_cell_angle_alpha 90.00
_cell_angle_beta 90.00
_cell_angle_gamma 90.00
_space_group_name_H-M_alt 'C m m m'
_space_group_IT_number 65
_space_group_name_Hall '-C 2 2'
loop_
_atom_site_label
_atom_site_type_symbol
_atom_site_fract_x
_atom_site_fract_y
_atom_site_fract_z
Mg1 Mg 0.250 0.250 0.000
Ta1 Ta 0.000 0.000 0.500
Pb1 Pb 0.000 0.500 0.500

=====

# MgTa2Pb PBE optimized geometry
# Magnetization in μB per cell: 0.000
# V in Å³ per cell: 161.18
# ρ in kg/m³: 12227
# Crystal system: monoclinic
# ΔH_f (0 K) in eV/atom: 0.4374
data_MgTa2Pb
_chemical_formula_sum 'Mg2 Ta4 Pb2'
_cell_length_a 5.842
_cell_length_b 9.860
_cell_length_c 2.964
_cell_angle_alpha 90.00
_cell_angle_beta 109.27
_cell_angle_gamma 90.00
_space_group_name_H-M_alt 'C 1 2/m 1'
_space_group_IT_number 12
_space_group_name_Hall '-C 2y'
loop_
_atom_site_label
_atom_site_type_symbol
_atom_site_fract_x
_atom_site_fract_y
_atom_site_fract_z
Mg1 Mg 0.000 0.000 0.000
Ta1 Ta 0.250 0.250 0.500
Pb1 Pb 0.000 0.500 0.000

=====

# Mg2TaPb PBE optimized geometry
# Magnetization in μB per cell: 4.930
# V in Å³ per cell: 349.36
# ρ in kg/m³: 8304
# Crystal system: cubic
# ΔH_f (0 K) in eV/atom: 0.5791
data_Mg2TaPb
_chemical_formula_sum 'Mg8 Ta4 Pb4'
_cell_length_a 7.043
_cell_length_b 7.043
_cell_length_c 7.043
_cell_angle_alpha 90.00
_cell_angle_beta 90.00
_cell_angle_gamma 90.00
_space_group_name_H-M_alt 'F -4 3 m'
_space_group_IT_number 216
_space_group_name_Hall 'F -4 2 3'
loop_
_atom_site_label
_atom_site_type_symbol
_atom_site_fract_x
_atom_site_fract_y
_atom_site_fract_z
Mg1 Mg 0.000 0.000 0.000
Mg2 Mg 0.250 0.250 0.250
Ta1 Ta 0.250 0.250 0.750
Pb1 Pb 0.000 0.000 0.500

=====

# MgTaTc2Pb PBE optimized geometry
# Magnetization in μB per cell: 1.660
# V in Å³ per cell: 125.22
# ρ in kg/m³: 8068
# Crystal system: tetragonal
# ΔH_f (0 K) in eV/atom: 1.3328
data_MgTaTc2Pb
_chemical_formula_sum 'Mg1 Ta1 Tc2 Pb1'
_cell_length_a 4.801
_cell_length_b 4.801
_cell_length_c 5.433
_cell_angle_alpha 90.00
_cell_angle_beta 90.00
_cell_angle_gamma 90.00
_space_group_name_H-M_alt 'P 4/m m m'
_space_group_IT_number 123
_space_group_name_Hall '-P 4 2'
loop_
_atom_site_label
_atom_site_type_symbol
_atom_site_fract_x
_atom_site_fract_y
_atom_site_fract_z
Mg1 Mg 0.000 0.000 0.000
Ta1 Ta 0.500 0.500 0.500
Tc1 Tc 0.000 0.500 0.500
Pb1 Pb 0.500 0.500 0.000

=====

# MgTa2VPb PBE optimized geometry
# Magnetization in μB per cell: 0.000
# V in Å³ per cell: 130.83
# ρ in kg/m³: 8178
# Crystal system: tetragonal
# ΔH_f (0 K) in eV/atom: 2.0489
data_MgTa2VPb
_chemical_formula_sum 'Mg1 Ta2 V1 Pb1'
_cell_length_a 5.173
_cell_length_b 5.173
_cell_length_c 4.889
_cell_angle_alpha 90.00
_cell_angle_beta 90.00
_cell_angle_gamma 90.00
_space_group_name_H-M_alt 'P 4/m m m'
_space_group_IT_number 123
_space_group_name_Hall '-P 4 2'
loop_
_atom_site_label
_atom_site_type_symbol
_atom_site_fract_x
_atom_site_fract_y
_atom_site_fract_z
Mg1 Mg 0.000 0.000 0.000
Ta1 Ta 0.000 0.500 0.500
V1 V 0.500 0.500 0.000
Pb1 Pb 0.500 0.500 0.500

=====

# Mg2ZrTaPb PBE optimized geometry
# Magnetization in μB per cell: 0.130
# V in Å³ per cell: 142.35
# ρ in kg/m³: 6159
# Crystal system: tetragonal
# ΔH_f (0 K) in eV/atom: 1.2083
data_Mg2ZrTaPb
_chemical_formula_sum 'Mg2 Zr1 Ta1 Pb1'
_cell_length_a 5.179
_cell_length_b 5.179
_cell_length_c 5.308
_cell_angle_alpha 90.00
_cell_angle_beta 90.00
_cell_angle_gamma 90.00
_space_group_name_H-M_alt 'P 4/m m m'
_space_group_IT_number 123
_space_group_name_Hall '-P 4 2'
loop_
_atom_site_label
_atom_site_type_symbol
_atom_site_fract_x
_atom_site_fract_y
_atom_site_fract_z
Mg1 Mg 0.000 0.500 0.000
Zr1 Zr 0.000 0.000 0.500
Ta1 Ta 0.500 0.500 0.000
Pb1 Pb 0.500 0.500 0.500

=====

# Tb2Mg3Pb3 PBE optimized geometry
# Magnetization in μB per cell: 0.000
# V in Å³ per cell: 208.74
# ρ in kg/m³: 8054
# Crystal system: orthorhombic
# ΔH_f (0 K) in eV/atom: -0.3173
data_Tb2Mg3Pb3
_chemical_formula_sum 'Tb2 Mg3 Pb3'
_cell_length_a 4.718
_cell_length_b 4.860
_cell_length_c 9.104
_cell_angle_alpha 90.00
_cell_angle_beta 90.00
_cell_angle_gamma 90.00
_space_group_name_H-M_alt 'P m m m'
_space_group_IT_number 47
_space_group_name_Hall '-P 2 2'
loop_
_atom_site_label
_atom_site_type_symbol
_atom_site_fract_x
_atom_site_fract_y
_atom_site_fract_z
Tb1 Tb 0.000 0.000 0.247
Mg1 Mg 0.000 0.500 0.500
Mg2 Mg 0.500 0.500 0.258
Pb1 Pb 0.000 0.500 0.000
Pb2 Pb 0.500 0.000 0.000
Pb3 Pb 0.500 0.000 0.500

=====

# TbMgPb PBE optimized geometry
# Magnetization in μB per cell: 0.000
# V in Å³ per cell: 79.04
# ρ in kg/m³: 8202
# Crystal system: trigonal
# ΔH_f (0 K) in eV/atom: -0.3087
data_TbMgPb
_chemical_formula_sum 'Tb1 Mg1 Pb1'
_cell_length_a 5.0307
_cell_length_b 5.0307
_cell_length_c 3.6064
_cell_angle_alpha 90.00
_cell_angle_beta 90.00
_cell_angle_gamma 120.00
_space_group_name_H-M_alt 'P 3 m 1'
_space_group_IT_number 156
_space_group_name_Hall 'P 3 -2"'
loop_
_atom_site_label
_atom_site_type_symbol
_atom_site_fract_x
_atom_site_fract_y
_atom_site_fract_z
Tb1 Tb 0.0000 0.0000 0.0000
Mg1 Mg 0.6667 0.3333 0.5008
Pb1 Pb 0.3333 0.6667 0.4991

=====

# Tb2MgPb2 PBE optimized geometry
# Magnetization in μB per cell: 0.000
# V in Å³ per cell: 578.09
# ρ in kg/m³: 8693
# Crystal system: orthorhombic
# ΔH_f (0 K) in eV/atom: -0.4114
data_Tb2MgPb2
_chemical_formula_sum 'Tb8 Mg4 Pb8'
_cell_length_a 4.818
_cell_length_b 17.185
_cell_length_c 6.982
_cell_angle_alpha 90.00
_cell_angle_beta 90.00
_cell_angle_gamma 90.00
_space_group_name_H-M_alt 'C m c 21'
_space_group_IT_number 36
_space_group_name_Hall 'C 2c -2'
loop_
_atom_site_label
_atom_site_type_symbol
_atom_site_fract_x
_atom_site_fract_y
_atom_site_fract_z
Tb1 Tb 0.000 0.013 0.000
Tb2 Tb 0.000 0.196 0.308
Mg1 Mg 0.000 0.396 0.189
Pb1 Pb 0.000 0.183 0.795
Pb2 Pb 0.000 0.429 0.761

=====

# TbMgPb PBE optimized geometry
# Magnetization in μB per cell: 0.000
# V in Å³ per cell: 326.03
# ρ in kg/m³: 7954
# Crystal system: orthorhombic
# ΔH_f (0 K) in eV/atom: -0.2834
data_TbMgPb
_chemical_formula_sum 'Tb4 Mg4 Pb4'
_cell_length_a 5.530
_cell_length_b 9.196
_cell_length_c 6.412
_cell_angle_alpha 90.00
_cell_angle_beta 90.00
_cell_angle_gamma 90.00
_space_group_name_H-M_alt 'C m c m'
_space_group_IT_number 63
_space_group_name_Hall '-C 2c 2'
loop_
_atom_site_label
_atom_site_type_symbol
_atom_site_fract_x
_atom_site_fract_y
_atom_site_fract_z
Tb1 Tb 0.000 0.165 0.250
Mg1 Mg 0.000 0.500 0.000
Pb1 Pb 0.000 0.175 0.750

=====

# Tb2MgPb3 PBE optimized geometry
# Magnetization in μB per cell: 0.001
# V in Å³ per cell: 768.16
# ρ in kg/m³: 8333
# Crystal system: orthorhombic
# ΔH_f (0 K) in eV/atom: -0.0898
# Polymorph energy (0 for the lowest one) in kJ/mol of formula units: 181.7
data_Tb2MgPb3
_chemical_formula_sum 'Tb8 Mg4 Pb12'
_cell_length_a 14.175
_cell_length_b 10.152
_cell_length_c 5.338
_cell_angle_alpha 90.00
_cell_angle_beta 90.00
_cell_angle_gamma 90.00
_space_group_name_H-M_alt 'C m c m'
_space_group_IT_number 63
_space_group_name_Hall '-C 2c 2'
loop_
_atom_site_label
_atom_site_type_symbol
_atom_site_fract_x
_atom_site_fract_y
_atom_site_fract_z
Tb1 Tb 0.119 0.112 0.250
Mg1 Mg 0.000 0.208 0.750
Pb1 Pb 0.000 0.399 0.250
Pb2 Pb 0.242 0.367 0.250